Material: CeAlGa
Method: DFT, PBE-GGA
State: relaxed

Calculated values
For the formation energy from the elements, the calculation gives -0.26 eV per atom. As for the space group: No. 63. The density of states at the Fermi level is 11.05 states/eV per cell.

abc: 8.247 8.247 4.028
angles: 90.00 90.00 149.24
Element x y z (fractional)
Ce (0.102, 0.898, 0.750)
Ce (0.898, 0.102, 0.250)
Al (0.290, 0.710, 0.750)
Al (0.710, 0.290, 0.250)
Ga (0.453, 0.547, 0.750)
Ga (0.547, 0.453, 0.250)


Material: La8Ir2Pt3
Method: DFT, PBE-GGA
State: relaxed

Calculated values
For the formation energy from the elements, the calculation gives -0.83 eV per atom. As for the space group: No. 12. The density of states at the Fermi level is 10.06 states/eV per cell.

abc: 8.563 8.563 7.110
angles: 107.21 107.21 60.15
Element x y z (fractional)
La (0.107, 0.630, 0.233)
La (0.122, 0.122, 0.240)
La (0.370, 0.893, 0.767)
La (0.373, 0.373, 0.778)
La (0.627, 0.627, 0.222)
La (0.630, 0.107, 0.233)
La (0.878, 0.878, 0.760)
La (0.893, 0.370, 0.767)
Ir (0.254, 0.254, 0.014)
Ir (0.746, 0.746, 0.986)
Pt (0.000, 0.000, 0.500)
Pt (0.253, 0.747, 0.000)
Pt (0.747, 0.253, 0.000)


Material: YTaAu2
Method: DFT, PBE-GGA
State: relaxed

Calculated values
For the formation energy from the elements, the calculation gives -0.15 eV per atom. Its offset from the most stable computed form is 0.095 eV/atom. As for the space group: No. 8. The density of states at the Fermi level is 3.85 states/eV per cell.

abc: 5.358 5.358 5.187
angles: 103.88 103.88 34.40
Element x y z (fractional)
Y (0.000, 0.000, 0.000)
Ta (0.767, 0.767, 0.346)
Au (0.243, 0.243, 0.809)
Au (0.509, 0.509, 0.495)


Material: NdGdTl2
Method: DFT, PBE-GGA
State: relaxed

Calculated values
For the formation energy from the elements, the calculation gives -0.38 eV per atom. Its offset from the most stable computed form is 0.006 eV/atom. As for the space group: No. 123. The density of states at the Fermi level is 3.84 states/eV per cell.

abc: 5.103 5.103 4.415
angles: 90.00 90.00 90.00
Element x y z (fractional)
Nd (0.000, 0.000, 0.000)
Gd (0.500, 0.500, 0.000)
Tl (0.000, 0.500, 0.500)
Tl (0.500, 0.000, 0.500)


Material: CsLaZr2Se
Method: DFT, PBE-GGA
State: relaxed

Calculated values
For the uncorrected formation energy, the calculation gives 832 meV per atom. As for the space group: No. 123. The density of states at the Fermi level is 7.16 states/eV per cell.

abc: 5.370 5.370 6.206
angles: 90.00 90.00 90.00
Element x y z (fractional)
Cs (0.000, 0.000, 0.000)
La (0.500, 0.500, 0.500)
Zr (0.000, 0.500, 0.500)
Zr (0.500, 0.000, 0.500)
Se (0.500, 0.500, 0.000)


Material: Pm6HC2Se3
Method: DFT, PBE-GGA
State: relaxed

Calculated values
As for the space group: No. 12. The density of states at the Fermi level is 3.20 states/eV per cell. Its electronic total energy is -6.13 eV/atom.

abc: 8.946 8.946 8.132
angles: 105.01 105.01 25.33
Element x y z (fractional)
Pm (0.016, 0.016, 0.254)
Pm (0.324, 0.324, 0.439)
Pm (0.334, 0.334, 0.881)
Pm (0.666, 0.666, 0.119)
Pm (0.676, 0.676, 0.561)
Pm (0.984, 0.984, 0.746)
H (0.500, 0.500, 0.000)
C (0.165, 0.165, 0.330)
C (0.835, 0.835, 0.670)
Se (0.163, 0.163, 0.834)
Se (0.500, 0.500, 0.500)
Se (0.837, 0.837, 0.166)


Material: TlCrSi
Method: DFT, PBE-GGA
State: relaxed

Calculated values
For the uncorrected formation energy, the calculation gives 576 meV per atom. Its offset from the most stable computed form is 0.175 eV/atom. As for the space group: No. 156. The density of states at the Fermi level is 2.26 states/eV per cell.

abc: 3.068 3.068 6.643
angles: 90.00 90.00 120.00
Element x y z (fractional)
Tl (0.000, 0.000, 0.000)
Cr (0.667, 0.333, 0.353)
Si (0.333, 0.667, 0.608)


Material: CuH
Method: DFT, PBE-GGA
State: relaxed

Calculated values
As for the space group: No. 216. Its electronic total energy is -3.60 eV/atom.

abc: 2.834 2.834 2.834
angles: 60.00 60.00 60.00
Element x y z (fractional)
Cu (0.000, 0.000, 0.000)
H (0.250, 0.250, 0.250)


Material: VSb2AsIr
Method: DFT, PBE-GGA
State: relaxed

Calculated values
For the uncorrected formation energy, the calculation gives 850 meV per atom. As for the space group: No. 123. The density of states at the Fermi level is 2.91 states/eV per cell.

abc: 5.039 5.039 4.554
angles: 90.00 90.00 90.00
Element x y z (fractional)
V (0.000, 0.000, 0.000)
Sb (0.000, 0.500, 0.000)
Sb (0.500, 0.000, 0.000)
As (0.000, 0.000, 0.500)
Ir (0.500, 0.500, 0.500)


Material: Mn2TlPdCl
Method: DFT, PBE-GGA
State: relaxed

Calculated values
For the uncorrected formation energy, the calculation gives 918 meV per atom. As for the space group: No. 123. The density of states at the Fermi level is 2.47 states/eV per cell.

abc: 5.258 5.258 5.108
angles: 90.00 90.00 90.00
Element x y z (fractional)
Mn (0.000, 0.500, 0.000)
Mn (0.500, 0.000, 0.000)
Tl (0.000, 0.000, 0.000)
Pd (0.000, 0.000, 0.500)
Cl (0.500, 0.500, 0.500)


Material: ThNbC
Method: DFT, PBE-GGA
State: relaxed

Calculated values
For the formation energy from the elements, the calculation gives -0.23 eV per atom. Its offset from the most stable computed form is 0.000 eV/atom. As for the space group: No. 14. The density of states at the Fermi level is 6.30 states/eV per cell.

abc: 6.443 6.719 5.749
angles: 90.00 106.44 90.00
Element x y z (fractional)
Th (0.208, 0.110, 0.334)
Th (0.208, 0.390, 0.834)
Th (0.792, 0.610, 0.166)
Th (0.792, 0.890, 0.666)
Nb (0.346, 0.645, 0.355)
Nb (0.346, 0.855, 0.855)
Nb (0.654, 0.145, 0.145)
Nb (0.654, 0.355, 0.645)
C (0.486, 0.118, 0.757)
C (0.486, 0.382, 0.257)
C (0.514, 0.618, 0.743)
C (0.514, 0.882, 0.243)


Material: YTcPb3
Method: DFT, PBE-GGA
State: relaxed

Calculated values
For the formation energy from the elements, the calculation gives 0.42 eV per atom. Its offset from the most stable computed form is 0.000 eV/atom. As for the space group: No. 221. The density of states at the Fermi level is 3.43 states/eV per cell.

abc: 5.322 5.322 5.322
angles: 90.00 90.00 90.00
Element x y z (fractional)
Y (0.000, 0.000, 0.000)
Tc (0.500, 0.500, 0.500)
Pb (0.000, 0.500, 0.500)
Pb (0.500, 0.000, 0.500)
Pb (0.500, 0.500, 0.000)


Repeat the fifth record exactly.
Material: CsLaZr2Se
Method: DFT, PBE-GGA
State: relaxed

Calculated values
For the uncorrected formation energy, the calculation gives 832 meV per atom. As for the space group: No. 123. The density of states at the Fermi level is 7.16 states/eV per cell.

abc: 5.370 5.370 6.206
angles: 90.00 90.00 90.00
Element x y z (fractional)
Cs (0.000, 0.000, 0.000)
La (0.500, 0.500, 0.500)
Zr (0.000, 0.500, 0.500)
Zr (0.500, 0.000, 0.500)
Se (0.500, 0.500, 0.000)